A.
Compound: Ho2PuZn
Source: Alexandria
Functional: PBE
Structure: optimized geometry

Results
Density of states at the Fermi level (states/eV/atom): 2.30
Density (kg/m³): 9767

Cell and atoms, written as CIF:
```
data_Ho2PuZn
_chemical_formula_sum 'Ho6 Pu3 Zn3'
_cell_length_a 3.520
_cell_length_b 3.520
_cell_length_c 30.376
_cell_angle_alpha 90.00
_cell_angle_beta 90.00
_cell_angle_gamma 120.00
_symmetry_space_group_name_H-M 'P 1'
_symmetry_Int_Tables_number 1
loop_
_symmetry_equiv_pos_as_xyz
'x,y,z'
loop_
_atom_site_label
_atom_site_type_symbol
_atom_site_fract_x
_atom_site_fract_y
_atom_site_fract_z
Ho1 Ho 0.000 0.000 0.000
Ho2 Ho 0.000 0.000 0.186
Ho3 Ho 0.333 0.667 0.667
Ho4 Ho 0.333 0.667 0.852
Ho5 Ho 0.667 0.333 0.333
Ho6 Ho 0.667 0.333 0.519
Pu1 Pu 0.000 0.000 0.760
Pu2 Pu 0.333 0.667 0.426
Pu3 Pu 0.667 0.333 0.093
Zn1 Zn 0.000 0.000 0.593
Zn2 Zn 0.333 0.667 0.260
Zn3 Zn 0.667 0.333 0.926
```

=====

B.
Compound: Ho2PuZn
Source: Alexandria
Functional: PBE
Structure: optimized geometry

Results
Density of states at the Fermi level (states/eV/atom): 2.38
Density (kg/m³): 10246

Cell and atoms, written as CIF:
```
data_Ho2PuZn
_chemical_formula_sum 'Ho2 Pu1 Zn1'
_cell_length_a 3.478
_cell_length_b 3.478
_cell_length_c 8.567
_cell_angle_alpha 90.00
_cell_angle_beta 90.00
_cell_angle_gamma 90.00
_symmetry_space_group_name_H-M 'P 1'
_symmetry_Int_Tables_number 1
loop_
_symmetry_equiv_pos_as_xyz
'x,y,z'
loop_
_atom_site_label
_atom_site_type_symbol
_atom_site_fract_x
_atom_site_fract_y
_atom_site_fract_z
Ho1 Ho 0.000 0.000 0.212
Ho2 Ho 0.000 0.000 0.788
Pu1 Pu 0.500 0.500 0.500
Zn1 Zn 0.500 0.500 0.000
```

=====

C.
Compound: Ho2PuZn
Source: Alexandria
Functional: PBE
Structure: optimized geometry

Results
Density of states at the Fermi level (states/eV/atom): 3.28
Density (kg/m³): 10303

Cell and atoms, written as CIF:
```
data_Ho2PuZn
_chemical_formula_sum 'Ho8 Pu4 Zn4'
_cell_length_a 7.442
_cell_length_b 7.442
_cell_length_c 7.442
_cell_angle_alpha 90.00
_cell_angle_beta 90.00
_cell_angle_gamma 90.00
_symmetry_space_group_name_H-M 'P 1'
_symmetry_Int_Tables_number 1
loop_
_symmetry_equiv_pos_as_xyz
'x,y,z'
loop_
_atom_site_label
_atom_site_type_symbol
_atom_site_fract_x
_atom_site_fract_y
_atom_site_fract_z
Ho1 Ho 0.250 0.250 0.250
Ho2 Ho 0.250 0.250 0.750
Ho3 Ho 0.250 0.750 0.250
Ho4 Ho 0.250 0.750 0.750
Ho5 Ho 0.750 0.250 0.250
Ho6 Ho 0.750 0.250 0.750
Ho7 Ho 0.750 0.750 0.250
Ho8 Ho 0.750 0.750 0.750
Pu1 Pu 0.000 0.000 0.000
Pu2 Pu 0.000 0.500 0.500
Pu3 Pu 0.500 0.000 0.500
Pu4 Pu 0.500 0.500 0.000
Zn1 Zn 0.000 0.000 0.500
Zn2 Zn 0.000 0.500 0.000
Zn3 Zn 0.500 0.000 0.000
Zn4 Zn 0.500 0.500 0.500
```

=====

Most stable structure, least stable structure: B, C.